First-principles (PBE) data for Tl3In2Pb4 after structural relaxation, as listed in Alexandria.

The space group is C2/c (No. 15) and the conventional cell measures 16.970, 10.015 and 6.789 Å, with angles of 90.00, 106.69 and 90.00 degrees. Symmetry generates all atoms from Tl at (0.000, 0.007, 0.250), Tl at (0.159, 0.492, 0.367), In at (0.175, 0.165, 0.306), Pb at (0.001, 0.320, 0.000) and Pb at (0.174, 0.172, 0.803).

For the formation energy, the calculation gives 0.23 eV per formula unit. The calculation puts the energy above the most stable polymorph in this dataset at 24 meV per atom. As for the crystal system: monoclinic.

---

First-principles (PBE) data for Pm4PrRh3 after structural relaxation, as listed in Alexandria.

The space group is I4/mcm (No. 140) and the conventional cell measures 11.322, 11.322 and 6.267 Å, with angles of 90.00, 90.00 and 90.00 degrees. Symmetry generates all atoms from Pm at (0.085, 0.208, 0.000), Pr at (0.000, 0.500, 0.250), Rh at (0.000, 0.000, 0.250) and Rh at (0.159, 0.341, 0.500).

For the formation energy, the calculation gives -4.32 eV per formula unit. As for the crystal system: tetragonal.

---

First-principles (PBE) data for Sr2HoScO5 after structural relaxation, as listed in Alexandria.

The space group is Cmc2_1 (No. 36) and the conventional cell measures 3.525, 13.766 and 11.513 Å, with angles of 90.00, 90.00 and 90.00 degrees. Symmetry generates all atoms from Sr at (0.000, 0.089, 0.000), Sr at (0.000, 0.151, 0.632), Ho at (0.000, 0.220, 0.356), Sc at (0.000, 0.470, 0.776), O at (0.000, 0.053, 0.360), O at (0.000, 0.271, 0.990), O at (0.000, 0.313, 0.738), O at (0.000, 0.379, 0.325) and O at (0.000, 0.493, 0.110).

As for the crystal system: orthorhombic. The formation energy without anion corrections comes out at -305.8 kJ per mole of atoms.

---

First-principles (PBE) data for RbIn2Ga4 after structural relaxation, as listed in Alexandria.

The space group is Cmmm (No. 65) and the conventional cell measures 5.122, 15.662 and 4.546 Å, with angles of 90.00, 90.00 and 90.00 degrees. Symmetry generates all atoms from Rb at (0.000, 0.000, 0.000), In at (0.000, 0.401, 0.500), Ga at (0.000, 0.188, 0.500) and Ga at (0.000, 0.288, 0.000).

For the formation energy, the calculation gives -0.32 eV per formula unit. The calculation puts the energy above the most stable polymorph in this dataset at 0 meV per atom. As for the crystal system: orthorhombic.

---

First-principles (PBE) data for LiURuO6 after structural relaxation, as listed in Alexandria.

The space group is P-31c (No. 163) and the conventional cell measures 5.1072, 5.1072 and 9.4091 Å, with angles of 90.00, 90.00 and 120.00 degrees. Symmetry generates all atoms from Li at (0.3333, 0.6667, 0.2500), U at (0.0000, 0.0000, 0.0000), Ru at (0.3333, 0.6667, 0.7500) and O at (0.0247, 0.3454, 0.6303).

As for the crystal system: trigonal. The formation energy without anion corrections comes out at -195.1 kJ per mole of atoms.

---

First-principles (PBE) data for Y2Zn2As after structural relaxation, as listed in Alexandria.

The space group is P4/mbm (No. 127) and the conventional cell measures 7.543, 7.543 and 4.479 Å, with angles of 90.00, 90.00 and 90.00 degrees. Symmetry generates all atoms from Y at (0.173, 0.327, 0.000), Zn at (0.122, 0.622, 0.500) and As at (0.000, 0.000, 0.000).

For the formation energy, the calculation gives -1.93 eV per formula unit. The calculation puts the energy above the most stable polymorph in this dataset at 121 meV per atom. As for the crystal system: tetragonal.

---

What total DFT energy (no corrections) values result from the calculations? In sequence: -27.2 -50.2 -67.6 -18.9 -70.4 -22.1 eV per formula unit.